[1]
TiPtF2: relaxed, GGA-PBE.

Output
Formation energy without anion corrections: -1.277 eV per atom
DOS(E_F): 11.93 states/eV per cell
Energy above the most stable polymorph in this dataset: 38 meV/atom
Electronic total energy: -5.697 eV/atom

abc: 3.9818 3.9818 13.9530
angles: 90.00 90.00 90.00
Closest atoms and distances in Å follow each position.
Space group I-42d (No. 122)
Inequivalent atoms, fractional coordinates:
Ti: 0.0000 0.0000 0.0000 [4 per cell]  4 F 2.08
Pt: 0.0000 0.0000 0.5000 [4 per cell]  4 F 2.47
F: 0.1368 0.2500 0.1250 [8 per cell]  2 Ti 2.08, 2 F 2.27

---

[2]
TiPtF: relaxed, GGA-PBE.

Output
Formation energy without anion corrections: -1.803 eV per atom
DOS(E_F): 4.85 states/eV per cell
Energy above the most stable polymorph in this dataset: 0 meV/atom
Electronic total energy: -7.072 eV/atom

abc: 3.3168 3.3168 7.1331
angles: 90.00 90.00 90.00
Closest atoms and distances in Å follow each position.
Space group P4/nmm (No. 129, origin choice 2)
Inequivalent atoms, fractional coordinates:
Ti: 0.2500 0.2500 0.2068 [2 per cell]  4 F 2.22
Pt: 0.2500 0.2500 0.6129 [2 per cell]  5 Ti 2.67-2.90, 4 Pt 2.85
F: 0.2500 0.7500 0.0000 [2 per cell]  4 Ti 2.22, 4 F 2.35

---

[3]
TiPtF: relaxed, GGA-PBE.

Output
Formation energy without anion corrections: -1.774 eV per atom
DOS(E_F): 8.88 states/eV per cell
Energy above the most stable polymorph in this dataset: 29 meV/atom
Electronic total energy: -7.043 eV/atom

abc: 2.8537 3.1954 20.4333
angles: 90.00 90.00 90.00
Closest atoms and distances in Å follow each position.
Space group Imm2 (No. 44)
Inequivalent atoms, fractional coordinates:
Ti: 0.0000 0.0000 0.0000 [2 per cell]  2 F 2.03
Ti: 0.0000 0.0000 0.2506 [2 per cell]  2 F 2.02
Pt: 0.0000 0.0000 0.4222 [2 per cell]  4 Ti 2.67, 6 Pt 2.85-2.96
Pt: 0.0000 0.0000 0.8223 [2 per cell]  4 Ti 2.59, 2 Pt 2.85
F: 0.0000 0.5000 0.0613 [2 per cell]  2 Ti 2.03
F: 0.0000 0.5000 0.6809 [2 per cell]  2 Ti 2.02

---

[4]
TiPt2F: relaxed, GGA-PBE.

Output
Formation energy without anion corrections: -0.841 eV per atom
DOS(E_F): 10.43 states/eV per cell
Energy above the most stable polymorph in this dataset: 0 meV/atom
Electronic total energy: -6.303 eV/atom

abc: 8.3419 8.3419 4.0891
angles: 90.00 90.00 90.00
Closest atoms and distances in Å follow each position.
Space group I-42d (No. 122)
Inequivalent atoms, fractional coordinates:
Ti: 0.0000 0.0000 0.0000 [4 per cell]  2 F 2.04
Pt: 0.1603 0.2500 0.1250 [8 per cell]  2 Ti 2.53, 2 Pt 2.53
F: 0.0000 0.0000 0.5000 [4 per cell]  2 Ti 2.04

---

[5]
TiPtF2: relaxed, GGA-PBE.

Output
Formation energy without anion corrections: -0.810 eV per atom
DOS(E_F): 3.67 states/eV per cell
Energy above the most stable polymorph in this dataset: 505 meV/atom
Electronic total energy: -5.229 eV/atom

abc: 5.8955 5.8955 5.8955
angles: 90.00 90.00 90.00
Closest atoms and distances in Å follow each position.
Space group Fm-3m (No. 225)
Inequivalent atoms, fractional coordinates:
Ti: 0.0000 0.0000 0.0000 [4 per cell]  8 F 2.55
Pt: 0.0000 0.0000 0.5000 [4 per cell]  8 F 2.55
F: 0.2500 0.2500 0.2500 [8 per cell]  4 Pt 2.55, 4 Ti 2.55

---

[6]
TiPtF: relaxed, GGA-PBE.

Output
Formation energy without anion corrections: -1.633 eV per atom
DOS(E_F): 6.09 states/eV per cell
Energy above the most stable polymorph in this dataset: 170 meV/atom
Electronic total energy: -6.902 eV/atom

abc: 8.2099 4.7595 5.5948
angles: 90.00 120.77 90.00
Closest atoms and distances in Å follow each position.
Space group C2 (No. 5)
Inequivalent atoms, fractional coordinates:
Ti: 0.0000 0.0000 0.0000 [2 per cell]  2 F 1.96
Ti: 0.0000 0.3031 0.5000 [2 per cell]  2 F 2.03
Pt: 0.1525 0.8015 0.4617 [4 per cell]  1 Ti 2.41
F: 0.1433 0.2753 0.9212 [4 per cell]  2 Ti 1.96-2.03